#1
! LaSm4Tl2 | the Alexandria database | PBE | optimized geometry; values from VASP
&SYSTEM
  ibrav = 0, nat = 7, ntyp = 3
/
ATOMIC_SPECIES
La 138.91 La.upf
Sm 150.36 Sm.upf
Tl 204.38 Tl.upf
ATOMIC_POSITIONS crystal
La 0.000 0.000 0.000
Sm 0.222 0.778 0.500
Sm 0.330 0.670 0.000
Sm 0.670 0.330 0.000
Sm 0.778 0.222 0.500
Tl 0.311 0.311 0.560
Tl 0.689 0.689 0.440
CELL_PARAMETERS angstrom
3.463 -5.569 0.000
3.463 5.569 0.000
-2.675 0.000 6.015
! Space group = C2/m, No. 12
! Spin magnetization = 0.00 μB/atom

***

#2
! LaSm4Tl2 | the Alexandria database | PBE | optimized geometry; values from VASP
&SYSTEM
  ibrav = 0, nat = 14, ntyp = 3
/
ATOMIC_SPECIES
La 138.91 La.upf
Sm 150.36 Sm.upf
Tl 204.38 Tl.upf
ATOMIC_POSITIONS crystal
La 0.104 0.250 0.343
La 0.896 0.750 0.657
Sm 0.182 0.750 0.084
Sm 0.342 0.004 0.773
Sm 0.342 0.496 0.773
Sm 0.459 0.750 0.496
Sm 0.541 0.250 0.504
Sm 0.658 0.504 0.227
Sm 0.658 0.996 0.227
Sm 0.818 0.250 0.916
Tl 0.046 0.750 0.380
Tl 0.268 0.250 0.064
Tl 0.732 0.750 0.936
Tl 0.954 0.250 0.620
CELL_PARAMETERS angstrom
8.266 0.000 0.000
0.000 6.756 0.000
-3.911 0.000 8.041
! Space group = P2_1/m, No. 11
! Spin magnetization = 0.00 μB/atom

***

Verdict on stability: #1 comes out at the bottom.

***

#1
! LaSm2Tl2 | the Alexandria database | PBE | optimized geometry; values from VASP
&SYSTEM
  ibrav = 0, nat = 10, ntyp = 3
/
ATOMIC_SPECIES
La 138.91 La.upf
Sm 150.36 Sm.upf
Tl 204.38 Tl.upf
ATOMIC_POSITIONS crystal
La 0.086 0.250 0.172
La 0.914 0.750 0.828
Sm 0.269 0.750 0.538
Sm 0.452 0.750 0.905
Sm 0.548 0.250 0.095
Sm 0.731 0.250 0.462
Tl 0.154 0.250 0.748
Tl 0.405 0.750 0.252
Tl 0.595 0.250 0.748
Tl 0.846 0.750 0.252
CELL_PARAMETERS angstrom
7.108 0.000 0.000
0.000 5.173 0.000
-3.546 0.000 8.700
! Space group = P2_1/m, No. 11
! Spin magnetization = 0.00 μB/atom

***

#2
! LaSm2Tl2 | the Alexandria database | PBE | optimized geometry; values from VASP
&SYSTEM
  ibrav = 0, nat = 10, ntyp = 3
/
ATOMIC_SPECIES
La 138.91 La.upf
Sm 150.36 Sm.upf
Tl 204.38 Tl.upf
ATOMIC_POSITIONS crystal
La 0.000 0.000 0.250
La 0.000 0.000 0.750
Sm 0.000 0.000 0.000
Sm 0.000 0.000 0.500
Sm 0.333 0.667 0.250
Sm 0.667 0.333 0.750
Tl 0.333 0.667 0.626
Tl 0.333 0.667 0.874
Tl 0.667 0.333 0.126
Tl 0.667 0.333 0.374
CELL_PARAMETERS angstrom
5.267 0.000 0.000
-2.634 4.562 0.000
0.000 0.000 13.100
! Space group = P6_3/mmc, No. 194
! Spin magnetization = 0.08 μB/atom

***

Verdict on stability: #2 comes out at the bottom.

***

#1
! LaSm6Tl2 | the Alexandria database | PBE | optimized geometry; values from VASP
&SYSTEM
  ibrav = 0, nat = 9, ntyp = 3
/
ATOMIC_SPECIES
La 138.91 La.upf
Sm 150.36 Sm.upf
Tl 204.38 Tl.upf
ATOMIC_POSITIONS crystal
La 0.000 0.000 0.000
Sm 0.009 0.009 0.344
Sm 0.310 0.310 0.127
Sm 0.310 0.310 0.418
Sm 0.690 0.690 0.582
Sm 0.690 0.690 0.873
Sm 0.991 0.991 0.656
Tl 0.359 0.359 0.783
Tl 0.641 0.641 0.217
CELL_PARAMETERS angstrom
6.567 -1.924 0.000
6.567 1.924 0.000
-3.783 0.000 11.608
! Space group = C2/m, No. 12
! Spin magnetization = 0.00 μB/atom

***

#2
! LaSm6Tl2 | the Alexandria database | PBE | optimized geometry; values from VASP
&SYSTEM
  ibrav = 0, nat = 18, ntyp = 3
/
ATOMIC_SPECIES
La 138.91 La.upf
Sm 150.36 Sm.upf
Tl 204.38 Tl.upf
ATOMIC_POSITIONS crystal
La 0.114 0.886 0.750
La 0.886 0.114 0.250
Sm 0.021 0.737 0.196
Sm 0.107 0.358 0.331
Sm 0.263 0.979 0.304
Sm 0.328 0.555 0.482
Sm 0.358 0.107 0.831
Sm 0.445 0.672 0.018
Sm 0.555 0.328 0.982
Sm 0.642 0.893 0.169
Sm 0.672 0.445 0.518
Sm 0.737 0.021 0.696
Sm 0.893 0.642 0.669
Sm 0.979 0.263 0.804
Tl 0.211 0.471 0.902
Tl 0.471 0.211 0.402
Tl 0.529 0.789 0.598
Tl 0.789 0.529 0.098
CELL_PARAMETERS angstrom
7.958 -5.886 0.000
7.958 5.886 0.000
-0.855 0.000 6.076
! Space group = C2/c, No. 15
! Spin magnetization = 0.00 μB/atom

***

Verdict on stability: #2 comes out at the bottom.